Here is a geometry-optimized TeS3N structure from Alexandria. Energies are from PBE-GGA.

POSCAR file:
```
TeS3N
1.0
5.091 0.000 0.000
0.000 5.091 0.000
0.000 0.000 5.091
S Te N
3 1 1
Direct
0.000 0.500 0.000
0.000 0.000 0.500
0.500 0.000 0.000
0.000 0.000 0.000
0.500 0.500 0.500
```

Values from the calculation:
**D(E_F)**: 7.4 states/eV/cell
**Energy relative to the elements, uncorrected**: 1699 meV per atom